one.
Below is K3CdHg4 after structural relaxation, with properties calculated at the PBE-GGA level.

It has space group Imm2 (No. 44), with a = 6.415 Å, b = 8.550 Å, c = 10.555 Å, α = 90.00°, β = 90.00° and γ = 90.00°. The asymmetric unit holds K at (0.000, 0.000, 0.000), K at (0.000, 0.227, 0.369), Cd at (0.000, 0.500, 0.934), Hg at (0.000, 0.318, 0.691) and Hg at (0.247, 0.000, 0.668).

two.
Below is K3CdHg4 after structural relaxation, with properties calculated at the PBE-GGA level.

It has space group C2/m (No. 12), with a = 24.102 Å, b = 5.461 Å, c = 4.351 Å, α = 90.00°, β = 90.18° and γ = 90.00°. The asymmetric unit holds K at (0.000, 0.000, 0.000), K at (0.159, 0.000, 0.500), Cd at (0.000, 0.500, 0.500), Hg at (0.092, 0.500, 0.002) and Hg at (0.218, 0.500, 0.998).

The most stable of them is two.

one.
Below is KCd2Hg6 after structural relaxation, with properties calculated at the PBE-GGA level.

It has space group Fd-3m (No. 227, origin choice 2), with a = 13.972 Å, b = 13.972 Å, c = 13.972 Å, α = 90.00°, β = 90.00° and γ = 90.00°. The asymmetric unit holds K at (0.125, 0.125, 0.125), Cd at (0.000, 0.000, 0.500) and Hg at (0.123, 0.375, 0.375).

two.
Below is KCd2Hg6 after structural relaxation, with properties calculated at the PBE-GGA level.

It has space group P6/mmm (No. 191), with a = 9.3725 Å, b = 9.3725 Å, c = 3.2297 Å, α = 90.00°, β = 90.00° and γ = 120.00°. The asymmetric unit holds K at (0.0000, 0.0000, 0.0000), Cd at (0.3333, 0.6667, 0.0000) and Hg at (0.0000, 0.3390, 0.5000).

The most stable of them is two.